1.
An optimized crystal structure of Ni3BMo, computed with PBE.

Symmetry   No. 221
E_form   2.1911 eV per atom
Excess energy over the best structure of this formula in the dataset   1970.3 meV per atom

Cell lengths 4.4772, 4.4772, 4.4772 Å; angles 90.00, 90.00, 90.00 degrees
Last column: nearest neighbours and their distance in Å.
Atoms (fractional coordinates):
Ni 0.5000 0.0000 0.0000  2 Mo 2.24
Ni 0.0000 0.0000 0.5000  2 Mo 2.24
Ni 0.0000 0.5000 0.0000  2 Mo 2.24
B 0.5000 0.5000 0.5000  12 Ni 3.17
Mo 0.0000 0.0000 0.0000  6 Ni 2.24


2.
An optimized crystal structure of Na3HRu, computed with PBE.

Symmetry   No. 221
Excess energy over the best structure of this formula in the dataset   0.0 meV per atom

Cell lengths 4.6221, 4.6221, 4.6221 Å; angles 90.00, 90.00, 90.00 degrees
Last column: nearest neighbours and their distance in Å.
Atoms (fractional coordinates):
Na 0.0000 0.0000 0.5000  2 H 2.31
Na 0.0000 0.5000 0.0000  2 H 2.31
Na 0.5000 0.0000 0.0000  2 H 2.31
Ru 0.5000 0.5000 0.5000  12 Na 3.27
H 0.0000 0.0000 0.0000  6 Na 2.31


3.
An optimized crystal structure of CaTb12Er6, computed with PBE.

Symmetry   No. 166
E_form   0.4258 eV per atom

Cell lengths 9.3311, 9.3311, 9.3311 Å; angles 107.78, 107.78, 107.78 degrees
Last column: nearest neighbours and their distance in Å.
Atoms (fractional coordinates):
Er 0.6868 0.2700 0.6868  5 Tb 3.11-3.41
Er 0.6868 0.6868 0.2700  5 Tb 3.11-3.41
Er 0.2700 0.6868 0.6868  5 Tb 3.11-3.41
Er 0.7300 0.3132 0.3132  5 Tb 3.11-3.41
Er 0.3132 0.7300 0.3132  5 Tb 3.11-3.41
Er 0.3132 0.3132 0.7300  5 Tb 3.11-3.41
Tb 0.8884 0.1116 0.5000  4 Er 3.30-3.41, 5 Tb 3.36-3.66
Tb 0.3639 0.1439 0.3639  1 Er 3.11, 2 Tb 3.32
Tb 0.1439 0.3639 0.3639  1 Er 3.11, 2 Tb 3.32
Tb 0.8884 0.5000 0.1116  4 Er 3.30-3.41, 5 Tb 3.36-3.66
Tb 0.6361 0.8561 0.6361  1 Er 3.11, 2 Tb 3.32
Tb 0.3639 0.3639 0.1439  1 Er 3.11, 2 Tb 3.32
Tb 0.1116 0.8884 0.5000  4 Er 3.30-3.41, 5 Tb 3.36-3.66
Tb 0.1116 0.5000 0.8884  4 Er 3.30-3.41, 5 Tb 3.36-3.66
Tb 0.5000 0.1116 0.8884  4 Er 3.30-3.41, 5 Tb 3.36-3.66
Tb 0.8561 0.6361 0.6361  1 Er 3.11, 2 Tb 3.32
Tb 0.6361 0.6361 0.8561  1 Er 3.11, 2 Tb 3.32
Tb 0.5000 0.8884 0.1116  4 Er 3.30-3.41, 5 Tb 3.36-3.66
Ca 0.0000 0.0000 0.0000  6 Tb 3.50


4.
An optimized crystal structure of Na6LiTl5, computed with PBE.

Symmetry   No. 2
E_form   -0.0907 eV per atom

Cell lengths 4.6845, 9.6841, 9.1423 Å; angles 121.80, 104.79, 90.09 degrees
Last column: nearest neighbours and their distance in Å.
Atoms (fractional coordinates):
Na 0.1686 0.4228 0.3371  7 Tl 3.34-3.59, 4 Na 3.36-3.43, 1 Li 3.51
Na 0.5004 0.7412 0.0002  6 Tl 3.31-3.48, 4 Na 3.42-3.43, 2 Li 3.43
Na 0.1690 0.9144 0.3373  7 Tl 3.33-3.58, 4 Na 3.36-3.42, 1 Li 3.50
Na 0.8310 0.0856 0.6627  7 Tl 3.33-3.58, 4 Na 3.36-3.42, 1 Li 3.50
Na 0.4996 0.2588 0.9998  6 Tl 3.31-3.48, 4 Na 3.42-3.43, 2 Li 3.43
Na 0.8314 0.5772 0.6629  7 Tl 3.34-3.59, 4 Na 3.36-3.43, 1 Li 3.51
Tl 0.0000 0.5000 0.0000  8 Na 3.31-3.46, 4 Tl 3.48
Tl 0.3265 0.3258 0.6528  8 Na 3.33-3.48, 4 Tl 3.48-3.51
Tl 0.6735 0.6742 0.3472  8 Na 3.33-3.48, 4 Tl 3.48-3.51
Tl 0.6511 0.1501 0.3011  2 Li 3.23-3.24, 8 Na 3.36-3.59, 2 Tl 3.50-3.51
Tl 0.3489 0.8499 0.6989  2 Li 3.23-3.24, 8 Na 3.36-3.59, 2 Tl 3.50-3.51
Li 0.0000 0.0000 0.0000  4 Tl 3.23-3.24, 8 Na 3.43-3.51


5.
An optimized crystal structure of Tb5PmHo4, computed with PBE.

Symmetry   No. 79
E_form   0.3007 eV per atom

Cell lengths 6.2881, 7.8585, 7.8585 Å; angles 80.79, 66.42, 66.42 degrees
Last column: nearest neighbours and their distance in Å.
Atoms (fractional coordinates):
Ho 0.8005 0.7006 0.6033  4 Tb 3.21-3.51, 1 Ho 3.25
Ho 0.4038 0.3967 0.7006  4 Tb 3.21-3.51, 1 Ho 3.25
Ho 0.1044 0.2994 0.3967  4 Tb 3.21-3.51, 1 Ho 3.25
Ho 0.5012 0.6033 0.2994  4 Tb 3.21-3.51, 1 Ho 3.25
Tb 0.1830 0.9134 0.6207  4 Ho 3.21-3.51, 1 Tb 3.28, 1 Pm 3.28
Tb 0.0964 0.6207 0.0866  4 Ho 3.21-3.51, 1 Tb 3.28, 1 Pm 3.28
Tb 0.8037 0.3793 0.9134  4 Ho 3.21-3.51, 1 Tb 3.28, 1 Pm 3.28
Tb 0.7171 0.0866 0.3793  4 Ho 3.21-3.51, 1 Tb 3.28, 1 Pm 3.28
Tb 0.6782 0.0000 0.0000  1 Pm 2.87
Pm 0.2220 0.0000 0.0000  1 Tb 2.87


6.
An optimized crystal structure of PrHoTm3Sc, computed with PBE.

Symmetry   No. 63
E_form   0.0436 eV per atom

Cell lengths 4.9437, 7.8024, 9.9150 Å; angles 90.00, 90.00, 108.47 degrees
Last column: nearest neighbours and their distance in Å.
Atoms (fractional coordinates):
Pr 0.4976 0.9952 0.7500  2 Sc 3.49, 6 Tm 3.50-3.56, 4 Ho 3.50
Pr 0.5024 0.0048 0.2500  2 Sc 3.49, 6 Tm 3.50-3.56, 4 Ho 3.50
Ho 0.0000 0.0000 0.0000  4 Pr 3.50, 6 Tm 3.51-3.54, 2 Sc 3.52
Ho 0.0000 0.0000 0.5000  4 Pr 3.50, 6 Tm 3.51-3.54, 2 Sc 3.52
Sc 0.1689 0.3379 0.2500  8 Tm 3.43-3.50, 2 Pr 3.49, 2 Ho 3.52
Sc 0.8311 0.6621 0.7500  8 Tm 3.43-3.50, 2 Pr 3.49, 2 Ho 3.52
Tm 0.6686 0.3373 0.9996  5 Tm 3.44-3.50, 3 Sc 3.45-3.50, 2 Pr 3.50-3.54, 2 Ho 3.51
Tm 0.3314 0.6627 0.4996  5 Tm 3.44-3.50, 3 Sc 3.45-3.50, 2 Pr 3.50-3.54, 2 Ho 3.51
Tm 0.8296 0.6593 0.2500  2 Sc 3.43, 6 Tm 3.44-3.50, 2 Ho 3.54, 2 Pr 3.56
Tm 0.3314 0.6627 0.0004  5 Tm 3.44-3.50, 3 Sc 3.45-3.50, 2 Pr 3.50-3.54, 2 Ho 3.51
Tm 0.1704 0.3407 0.7500  2 Sc 3.43, 6 Tm 3.44-3.50, 2 Ho 3.54, 2 Pr 3.56
Tm 0.6686 0.3373 0.5004  5 Tm 3.44-3.50, 3 Sc 3.45-3.50, 2 Pr 3.50-3.54, 2 Ho 3.51


7.
An optimized crystal structure of TaCuPt14, computed with PBE.

Symmetry   No. 123
E_form   -0.2391 eV per atom

Cell lengths 5.6387, 5.6387, 7.8407 Å; angles 90.00, 90.00, 90.00 degrees
Last column: nearest neighbours and their distance in Å.
Atoms (fractional coordinates):
Pt 0.6252 0.1248 0.7431  1 Ta 2.76, 10 Pt 2.76-2.84, 1 Cu 2.76
Pt 0.1249 0.1249 0.2569  1 Ta 2.76, 10 Pt 2.76-2.83, 1 Cu 2.76
Pt 0.8750 0.3750 0.0000  12 Pt 2.82-2.83
Pt 0.8750 0.8750 0.0000  12 Pt 2.82-2.83
Pt 0.3750 0.8750 0.0000  12 Pt 2.82-2.83
Pt 0.1249 0.1249 0.7431  1 Ta 2.76, 10 Pt 2.76-2.83, 1 Cu 2.76
Pt 0.6252 0.6252 0.7431  1 Ta 2.76, 10 Pt 2.76-2.83, 1 Cu 2.76
Pt 0.6252 0.6252 0.2569  1 Ta 2.76, 10 Pt 2.76-2.83, 1 Cu 2.76
Pt 0.8750 0.3750 0.5000  8 Pt 2.76, 2 Cu 2.82, 2 Ta 2.82
Pt 0.1248 0.6252 0.2569  1 Ta 2.76, 10 Pt 2.76-2.84, 1 Cu 2.76
Pt 0.3750 0.8750 0.5000  8 Pt 2.76, 2 Cu 2.82, 2 Ta 2.82
Pt 0.3750 0.3750 0.0000  12 Pt 2.82-2.84
Pt 0.1248 0.6252 0.7431  1 Ta 2.76, 10 Pt 2.76-2.84, 1 Cu 2.76
Pt 0.6252 0.1248 0.2569  1 Ta 2.76, 10 Pt 2.76-2.84, 1 Cu 2.76
Cu 0.3750 0.3750 0.5000  12 Pt 2.76-2.82
Ta 0.8750 0.8750 0.5000  12 Pt 2.76-2.82


8.
An optimized crystal structure of Zn8CuAg2, computed with PBE.

Symmetry   No. 12
E_form   -0.0131 eV per atom
Excess energy over the best structure of this formula in the dataset   0.0 meV per atom

Cell lengths 3.9287, 6.2310, 7.3247 Å; angles 106.19, 105.56, 90.00 degrees
Last column: nearest neighbours and their distance in Å.
Atoms (fractional coordinates):
Cu 0.5000 0.0000 0.0000  12 Zn 2.66-2.76
Zn 0.4137 0.5596 0.8275  8 Zn 2.66-2.86, 1 Cu 2.66, 3 Ag 2.80-2.87
Zn 0.3263 0.0950 0.6525  1 Cu 2.68, 8 Zn 2.72-2.90, 3 Ag 2.76-2.77
Zn 0.1319 0.1672 0.2638  7 Zn 2.67-2.90, 2 Cu 2.70, 3 Ag 2.82-2.88
Zn 0.0406 0.7280 0.0811  9 Zn 2.66-2.86, 2 Cu 2.76, 1 Ag 2.79
Zn 0.8681 0.8328 0.7362  7 Zn 2.67-2.90, 2 Cu 2.70, 3 Ag 2.82-2.88
Zn 0.9594 0.2720 0.9189  9 Zn 2.66-2.86, 2 Cu 2.76, 1 Ag 2.79
Zn 0.6737 0.9050 0.3475  1 Cu 2.68, 8 Zn 2.72-2.90, 3 Ag 2.76-2.77
Zn 0.5863 0.4404 0.1725  8 Zn 2.66-2.86, 1 Cu 2.66, 3 Ag 2.80-2.87
Ag 0.2244 0.6449 0.4488  10 Zn 2.76-2.88, 2 Ag 2.90
Ag 0.7756 0.3551 0.5512  10 Zn 2.76-2.88, 2 Ag 2.90